Entry 1:
First-principles (PBE-GGA) data for a geometry-optimized KSeCl2 structure, as listed in the Alexandria database.

```
data_KSeCl2
_chemical_formula_sum 'K1 Se1 Cl2'
_cell_length_a 5.663
_cell_length_b 5.663
_cell_length_c 5.663
_cell_angle_alpha 134.89
_cell_angle_beta 115.66
_cell_angle_gamma 82.02
_symmetry_space_group_name_H-M 'P 1'
_symmetry_Int_Tables_number 1
_symmetry_space_group_name_Hall 'P 1'
loop_
_atom_site_label
_atom_site_type_symbol
_atom_site_fract_x
_atom_site_fract_y
_atom_site_fract_z
Cl1 Cl 0.433 0.433 0.000
Cl2 Cl 0.067 0.067 0.000
K1 K 0.750 0.250 0.500
Se1 Se 0.250 0.750 0.500
```

Results
The raw formation energy is -717 meV/atom. The magnetic moment is 0.000 μB/atom. The energy relative to the lowest polymorph listed for this composition is 133 meV/atom.

Entry 2:
First-principles (PBE-GGA) data for a geometry-optimized GeSeN2O structure, as listed in the Alexandria database.

```
data_GeSeN2O
_chemical_formula_sum 'Ge1 Se1 N2 O1'
_cell_length_a 3.826
_cell_length_b 3.826
_cell_length_c 3.887
_cell_angle_alpha 90.00
_cell_angle_beta 90.00
_cell_angle_gamma 90.00
_symmetry_space_group_name_H-M 'P 1'
_symmetry_Int_Tables_number 1
_symmetry_space_group_name_Hall 'P 1'
loop_
_atom_site_label
_atom_site_type_symbol
_atom_site_fract_x
_atom_site_fract_y
_atom_site_fract_z
Se1 Se 0.000 0.000 0.000
N1 N 0.000 0.500 0.000
N2 N 0.500 0.000 0.000
O1 O 0.000 0.000 0.500
Ge1 Ge 0.500 0.500 0.500
```

Results
The raw formation energy is 1114 meV/atom. The magnetic moment is 0.000 μB/atom.

Entry 3:
First-principles (PBE-GGA) data for a geometry-optimized Nd4HoCd3 structure, as listed in the Alexandria database.

```
data_Nd4HoCd3
_chemical_formula_sum 'Nd4 Ho1 Cd3'
_cell_length_a 3.800
_cell_length_b 5.558
_cell_length_c 11.230
_cell_angle_alpha 90.00
_cell_angle_beta 90.00
_cell_angle_gamma 90.00
_symmetry_space_group_name_H-M 'P 1'
_symmetry_Int_Tables_number 1
_symmetry_space_group_name_Hall 'P 1'
loop_
_atom_site_label
_atom_site_type_symbol
_atom_site_fract_x
_atom_site_fract_y
_atom_site_fract_z
Cd1 Cd 0.500 0.000 0.754
Cd2 Cd 0.500 0.000 0.246
Cd3 Cd 0.500 0.500 0.500
Nd1 Nd 0.000 0.500 0.739
Nd2 Nd 0.000 0.500 0.261
Nd3 Nd 0.000 0.000 0.000
Nd4 Nd 0.000 0.000 0.500
Ho1 Ho 0.500 0.500 0.000
```

Results
Its formation energy is -0.19 eV per atom. The magnetic moment is 0.008 μB/atom.

Entry 4:
First-principles (PBE-GGA) data for a geometry-optimized Ho4Te3Se structure, as listed in the Alexandria database.

```
data_Ho4Te3Se
_chemical_formula_sum 'Ho4 Te3 Se1'
_cell_length_a 4.251
_cell_length_b 7.426
_cell_length_c 7.426
_cell_angle_alpha 109.36
_cell_angle_beta 90.00
_cell_angle_gamma 90.00
_symmetry_space_group_name_H-M 'P 1'
_symmetry_Int_Tables_number 1
_symmetry_space_group_name_Hall 'P 1'
loop_
_atom_site_label
_atom_site_type_symbol
_atom_site_fract_x
_atom_site_fract_y
_atom_site_fract_z
Se1 Se 0.500 0.000 0.000
Te1 Te 0.000 0.000 0.500
Te2 Te 0.000 0.500 0.000
Te3 Te 0.500 0.500 0.500
Ho1 Ho 0.000 0.779 0.779
Ho2 Ho 0.000 0.221 0.221
Ho3 Ho 0.500 0.232 0.768
Ho4 Ho 0.500 0.768 0.232
```

Results
The raw formation energy is -1367 meV/atom. The magnetic moment is 0.000 μB/atom.

Entry 5:
First-principles (PBE-GGA) data for a geometry-optimized YRhCl3 structure, as listed in the Alexandria database.

```
data_YRhCl3
_chemical_formula_sum 'Y1 Rh1 Cl3'
_cell_length_a 4.806
_cell_length_b 4.806
_cell_length_c 4.806
_cell_angle_alpha 90.00
_cell_angle_beta 90.00
_cell_angle_gamma 90.00
_symmetry_space_group_name_H-M 'P 1'
_symmetry_Int_Tables_number 1
_symmetry_space_group_name_Hall 'P 1'
loop_
_atom_site_label
_atom_site_type_symbol
_atom_site_fract_x
_atom_site_fract_y
_atom_site_fract_z
Y1 Y 0.500 0.500 0.500
Cl1 Cl 0.000 0.000 0.500
Cl2 Cl 0.500 0.000 0.000
Cl3 Cl 0.000 0.500 0.000
Rh1 Rh 0.000 0.000 0.000
```

Results
The raw formation energy is -524 meV/atom. The magnetic moment is 0.000 μB/atom. The energy relative to the lowest polymorph listed for this composition is 182 meV/atom.

Entry 6:
First-principles (PBE-GGA) data for a geometry-optimized Ho5Th5Sc2 structure, as listed in the Alexandria database.

```
data_Ho5Th5Sc2
_chemical_formula_sum 'Ho5 Th5 Sc2'
_cell_length_a 4.999
_cell_length_b 7.736
_cell_length_c 10.612
_cell_angle_alpha 72.75
_cell_angle_beta 76.38
_cell_angle_gamma 71.15
_symmetry_space_group_name_H-M 'P 1'
_symmetry_Int_Tables_number 1
_symmetry_space_group_name_Hall 'P 1'
loop_
_atom_site_label
_atom_site_type_symbol
_atom_site_fract_x
_atom_site_fract_y
_atom_site_fract_z
Th1 Th 0.000 0.000 0.000
Th2 Th 0.748 0.251 0.254
Th3 Th 0.833 0.830 0.504
Th4 Th 0.252 0.749 0.746
Th5 Th 0.167 0.170 0.496
Ho1 Ho 0.582 0.084 0.752
Ho2 Ho 0.418 0.916 0.248
Ho3 Ho 0.670 0.665 0.996
Ho4 Ho 0.330 0.335 0.004
Ho5 Ho 0.500 0.500 0.500
Sc1 Sc 0.917 0.415 0.751
Sc2 Sc 0.083 0.585 0.249
```

Results
Its formation energy is 0.05 eV per atom. The magnetic moment is 0.000 μB/atom. The energy relative to the lowest polymorph listed for this composition is 0 meV/atom.

Entry 7:
First-principles (PBE-GGA) data for a geometry-optimized Pr3Sm2Sn structure, as listed in the Alexandria database.

```
data_Pr3Sm2Sn
_chemical_formula_sum 'Pr3 Sm2 Sn1'
_cell_length_a 5.009
_cell_length_b 4.967
_cell_length_c 8.184
_cell_angle_alpha 107.67
_cell_angle_beta 90.00
_cell_angle_gamma 90.00
_symmetry_space_group_name_H-M 'P 1'
_symmetry_Int_Tables_number 1
_symmetry_space_group_name_Hall 'P 1'
loop_
_atom_site_label
_atom_site_type_symbol
_atom_site_fract_x
_atom_site_fract_y
_atom_site_fract_z
Sm1 Sm 0.000 0.340 0.679
Sm2 Sm 0.000 0.660 0.321
Pr1 Pr 0.500 0.163 0.327
Pr2 Pr 0.500 0.837 0.673
Pr3 Pr 0.500 0.500 0.000
Sn1 Sn 0.000 0.000 0.000
```

Results
Its formation energy is -0.26 eV per atom. The magnetic moment is 0.000 μB/atom.

Entry 8:
First-principles (PBE-GGA) data for a geometry-optimized Ac8NdDy5 structure, as listed in the Alexandria database.

```
data_Ac8NdDy5
_chemical_formula_sum 'Ac8 Nd1 Dy5'
_cell_length_a 10.128
_cell_length_b 9.173
_cell_length_c 9.451
_cell_angle_alpha 114.25
_cell_angle_beta 114.59
_cell_angle_gamma 111.52
_symmetry_space_group_name_H-M 'P 1'
_symmetry_Int_Tables_number 1
_symmetry_space_group_name_Hall 'P 1'
loop_
_atom_site_label
_atom_site_type_symbol
_atom_site_fract_x
_atom_site_fract_y
_atom_site_fract_z
Ac1 Ac 0.062 0.550 0.958
Ac2 Ac 0.939 0.022 0.703
Ac3 Ac 0.835 0.462 0.458
Ac4 Ac 0.401 0.307 0.433
Ac5 Ac 0.635 0.386 0.931
Ac6 Ac 0.522 0.838 0.698
Ac7 Ac 0.446 0.523 0.188
Ac8 Ac 0.131 0.886 0.441
Dy1 Dy 0.903 0.823 0.950
Dy2 Dy 0.334 0.964 0.965
Dy3 Dy 0.563 0.039 0.444
Dy4 Dy 0.731 0.938 0.193
Dy5 Dy 0.019 0.327 0.198
Nd1 Nd 0.229 0.435 0.690
```

Results
Its formation energy is 0.08 eV per atom. The magnetic moment is 0.000 μB/atom.

Number 1: E -2.79 eV/atom. Number 2: E -4.83 eV/atom. Number 3: E -3.49 eV/atom. Number 4: E -5.27 eV/atom. Number 5: E -4.40 eV/atom. Number 6: E -6.00 eV/atom. Number 7: E -4.89 eV/atom. Number 8: E -4.25 eV/atom.